--- 1 ---
Entry from Alexandria via LeMat-Bulk: Ni3AsAu after structural relaxation (PBE-GGA).

Cell and atoms, written as POSCAR:
```
Ni3AsAu
1.0
-4.0028 -0.4133 -1.5623
-0.4803 -3.6804 2.2041
-1.5430 2.2176 3.3667
Au Ni As
1 3 1
direct
0.5000 0.5000 0.5000
0.0000 0.5000 0.0000
0.0000 0.0000 0.5000
0.5000 0.0000 0.0000
0.0000 0.0000 0.0000
```

## Properties
The value obtained for the density of states at the Fermi level is 4.6 states/eV/f.u. The volume comes out at 16.1 Å³ per atom. The symmetry is Pm-3m, No. 221.

---

--- 2 ---
Entry from Alexandria via LeMat-Bulk: Ni3AsAu after structural relaxation (PBE-GGA).

Cell and atoms, written as POSCAR:
```
Ni3AsAu
1.0
-2.8339 -3.4350 -1.3149
2.2100 -0.2633 -4.0750
2.9401 -3.1129 1.7957
Ni As Au
3 1 1
direct
0.0000 0.0000 0.5000
0.5000 0.0000 0.0000
0.0000 0.5000 0.0000
0.5000 0.5000 0.5000
0.0000 0.0000 0.0000
```

## Properties
The value obtained for the density of states at the Fermi level is 14.8 states/eV/f.u. The volume comes out at 20.0 Å³ per atom. The symmetry is Pm-3m, No. 221.

---

Result of the stability comparison: 1 is the most stable of them.

---

--- 1 ---
Entry from Alexandria via LeMat-Bulk: NiAsAu after structural relaxation (PBE-GGA).

Cell and atoms, written as POSCAR:
```
NiAsAu
1.0
-2.2526 0.9269 1.8928
-0.4347 -2.4407 -1.8359
2.1596 -3.6696 4.3672
As Ni Au
1 1 1
direct
0.0000 0.0000 0.1624
0.3333 0.6667 0.4041
0.0000 0.0000 0.7384
```

## Properties
The value obtained for the density of states at the Fermi level is 0.8 states/eV/f.u. The volume comes out at 16.8 Å³ per atom. The symmetry is P3m1, No. 156.

---

--- 2 ---
Entry from Alexandria via LeMat-Bulk: NiAsAu after structural relaxation (PBE-GGA).

Cell and atoms, written as POSCAR:
```
NiAsAu
1.0
-0.6976 -2.9304 0.3660
2.2317 0.8035 -1.8926
4.0673 -0.3899 4.6307
Au Ni As
1 1 1
direct
0.3333 0.6667 0.3637
0.6667 0.3333 0.6932
0.0000 0.0000 0.9431
```

## Properties
The value obtained for the density of states at the Fermi level is 0.7 states/eV/f.u. The volume comes out at 16.4 Å³ per atom. The symmetry is P3m1, No. 156.

---

Result of the stability comparison: 1 is the most stable of them.

---

--- 1 ---
Entry from Alexandria via LeMat-Bulk: NiAsAu after structural relaxation (PBE-GGA).

Cell and atoms, written as POSCAR:
```
NiAsAu
1.0
-1.1542 2.8027 0.4516
-1.1706 -1.8059 -2.1816
-12.0346 -6.9197 12.1857
Ni As Au
3 3 3
direct
0.3333 0.6667 0.9493
0.6667 0.3333 0.6160
0.0000 0.0000 0.2827
0.0000 0.0000 0.6967
0.3333 0.6667 0.3634
0.6667 0.3333 0.0301
0.3333 0.6667 0.5053
0.6667 0.3333 0.1720
0.0000 0.0000 0.8387
```

## Properties
The value obtained for the density of states at the Fermi level is 0.3 states/eV/f.u. The volume comes out at 16.7 Å³ per atom. The symmetry is R3m, No. 160.

---

--- 2 ---
Entry from Alexandria via LeMat-Bulk: NiAsAu after structural relaxation (PBE-GGA).

Cell and atoms, written as POSCAR:
```
NiAsAu
1.0
2.9162 0.0000 0.0000
0.0000 4.4219 0.0000
0.0000 0.0000 3.9509
Au As Ni
1 1 1
direct
0.0000 0.0000 0.5572
0.0000 0.5000 0.1809
0.5000 0.5000 0.7096
```

## Properties
The value obtained for the density of states at the Fermi level is 1.6 states/eV/f.u. The volume comes out at 17.0 Å³ per atom. The symmetry is Pmm2, No. 25.

---

Result of the stability comparison: 1 is the most stable of them.

---

--- 1 ---
Entry from Alexandria via LeMat-Bulk: NiAsAu after structural relaxation (PBE-GGA).

Cell and atoms, written as POSCAR:
```
NiAsAu
1.0
3.9672 0.0000 0.0080
0.0000 3.4271 0.0000
-2.4071 0.0000 7.3997
Au As Ni
2 2 2
direct
0.7527 0.0000 0.6086
0.7527 0.5000 0.1086
0.2347 0.5000 0.4277
0.2347 0.0000 0.9277
0.3175 0.0000 0.2398
0.3175 0.5000 0.7398
```

## Properties
The value obtained for the density of states at the Fermi level is 1.4 states/eV/f.u. The volume comes out at 16.8 Å³ per atom. The symmetry is Cm, No. 8.

---

--- 2 ---
Entry from Alexandria via LeMat-Bulk: NiAsAu after structural relaxation (PBE-GGA).

Cell and atoms, written as POSCAR:
```
NiAsAu
1.0
5.6731 0.0000 0.0000
0.0000 7.1377 -0.1733
0.0000 -1.9557 4.8954
Ni Au As
4 4 4
direct
0.9969 0.6792 0.7064
0.4969 0.3208 0.7936
0.0031 0.3208 0.2936
0.5031 0.6792 0.2064
0.8593 0.0653 0.7919
0.3593 0.9347 0.7081
0.1407 0.9347 0.2081
0.6407 0.0653 0.2919
0.4090 0.3656 0.2478
0.0910 0.3656 0.7478
0.5910 0.6344 0.7522
0.9090 0.6344 0.2522
```

## Properties
The value obtained for the density of states at the Fermi level is 1.5 states/eV/f.u. The volume comes out at 16.4 Å³ per atom. The symmetry is P2_1/c, No. 14.

---

--- 3 ---
Entry from Alexandria via LeMat-Bulk: NiAsAu after structural relaxation (PBE-GGA).

Cell and atoms, written as POSCAR:
```
NiAsAu
1.0
6.1259 -0.0002 0.0002
5.4417 2.8140 0.0063
0.6842 0.1617 2.8096
Au As Ni
1 1 1
direct
0.3143 0.3143 0.6857
0.0341 0.0341 0.9659
0.6515 0.6515 0.3485
```

## Properties
The value obtained for the density of states at the Fermi level is 1.6 states/eV/f.u. The volume comes out at 16.1 Å³ per atom. The symmetry is I4mm, No. 107.

---

--- 4 ---
Entry from Alexandria via LeMat-Bulk: NiAsAu after structural relaxation (PBE-GGA).

Cell and atoms, written as POSCAR:
```
NiAsAu
1.0
3.7939 0.0831 -0.0061
1.9555 3.2444 -0.0073
1.8924 1.1003 4.1830
As Au Ni
1 1 1
direct
0.0229 0.0151 0.6361
0.4874 0.4758 0.2090
0.2800 0.2711 0.8499
```

## Properties
The value obtained for the density of states at the Fermi level is 1.9 states/eV/f.u. The volume comes out at 17.0 Å³ per atom. The symmetry is P1, No. 1.

---

Result of the stability comparison: 4 is the most stable of them.